Material: Ba2MnPbO5
Method: DFT, PBE with a Hubbard U
State: relaxed

For the total energy, the calculation gives -6.210 eV/atom. As for the space-group type: Cmc2_1 (36).

Unit cell a=8.565 b=8.565 c=10.251 alpha=90.00 beta=90.00 gamma=156.84
Fractional coordinates of all 18 atoms:
Ba1 0.131 0.869 0.500
Ba2 0.133 0.867 0.082
Ba3 0.867 0.133 0.582
Ba4 0.869 0.131 0.000
Mn1 0.225 0.775 0.790
Mn2 0.775 0.225 0.290
Pb1 0.477 0.523 0.285
Pb2 0.523 0.477 0.785
O1 0.108 0.892 0.792
O2 0.282 0.718 0.415
O3 0.283 0.717 0.166
O4 0.338 0.662 0.790
O5 0.497 0.503 0.068
O6 0.503 0.497 0.568
O7 0.662 0.338 0.290
O8 0.717 0.283 0.666
O9 0.718 0.282 0.915
O10 0.892 0.108 0.292